No. 1
A plane-wave DFT calculation with PBE was carried out for an optimized crystal structure of LiNd2ScSe5.

It has space group Cmc2_1 (No. 36), with a = 4.0910 Å, b = 17.1785 Å, c = 12.1714 Å, α = 90.00°, β = 90.00° and γ = 90.00°. The asymmetric unit holds Li at (0.0000, 0.0542, 0.0000), Nd at (0.0000, 0.3715, 0.8400), Nd at (0.0000, 0.3945, 0.2225), Sc at (0.0000, 0.3013, 0.5485), Se at (0.0000, 0.0027, 0.3176), Se at (0.0000, 0.1416, 0.5367), Se at (0.0000, 0.1908, 0.8936), Se at (0.0000, 0.2181, 0.1992) and Se at (0.0000, 0.4465, 0.6045).

The total magnetization comes out at 0.0 Bohr magnetons per cell. The total energy comes out at -5.6219 eV/atom.

No. 2
A plane-wave DFT calculation with PBE was carried out for an optimized crystal structure of LiNdScSi.

It has space group F-43m (No. 216), with a = 6.9498 Å, b = 6.9498 Å, c = 6.9498 Å, α = 90.00°, β = 90.00° and γ = 90.00°. The asymmetric unit holds Li at (0.0000, 0.0000, 0.0000), Nd at (0.2500, 0.2500, 0.7500), Sc at (0.2500, 0.2500, 0.2500) and Si at (0.0000, 0.0000, 0.5000).

The total magnetization comes out at 0.0 Bohr magnetons per cell. The total energy comes out at -4.9626 eV/atom.

No. 3
A plane-wave DFT calculation with PBE was carried out for an optimized crystal structure of LiNdSmSc.

It has space group F-43m (No. 216), with a = 7.6887 Å, b = 7.6887 Å, c = 7.6887 Å, α = 90.00°, β = 90.00° and γ = 90.00°. The asymmetric unit holds Li at (0.0000, 0.0000, 0.0000), Nd at (0.2500, 0.2500, 0.7500), Sm at (0.2500, 0.2500, 0.2500) and Sc at (0.0000, 0.0000, 0.5000).

The total magnetization comes out at 0.0 Bohr magnetons per cell. The value obtained for the energy of formation from the pure elements is 0.6 eV/f.u. The total energy comes out at -4.2944 eV/atom.

No. 4
A plane-wave DFT calculation with PBE was carried out for an optimized crystal structure of LiNdScSn.

It has space group F-43m (No. 216), with a = 7.3074 Å, b = 7.3074 Å, c = 7.3074 Å, α = 90.00°, β = 90.00° and γ = 90.00°. The asymmetric unit holds Li at (0.0000, 0.0000, 0.0000), Nd at (0.2500, 0.2500, 0.2500), Sc at (0.2500, 0.2500, 0.7500) and Sn at (0.0000, 0.0000, 0.5000).

The total magnetization comes out at 0.0 Bohr magnetons per cell. The value obtained for the energy of formation from the pure elements is -1.6 eV/f.u. The total energy comes out at -4.6579 eV/atom.

No. 5
A plane-wave DFT calculation with PBE was carried out for an optimized crystal structure of LiTbNdSc.

It has space group F-43m (No. 216), with a = 7.6470 Å, b = 7.6470 Å, c = 7.6470 Å, α = 90.00°, β = 90.00° and γ = 90.00°. The asymmetric unit holds Li at (0.0000, 0.0000, 0.0000), Tb at (0.2500, 0.2500, 0.7500), Nd at (0.2500, 0.2500, 0.2500) and Sc at (0.0000, 0.0000, 0.5000).

The total magnetization comes out at 0.0 Bohr magnetons per cell. The value obtained for the energy of formation from the pure elements is 0.6 eV/f.u. The total energy comes out at -4.2666 eV/atom.

No. 6
A plane-wave DFT calculation with PBE was carried out for an optimized crystal structure of Li3NdSc2Te6.

It has space group C2/m (No. 12), with a = 7.3902 Å, b = 12.8082 Å, c = 7.4299 Å, α = 90.00°, β = 109.49° and γ = 90.00°. The asymmetric unit holds Li at (0.0000, 0.0000, 0.0000), Li at (0.0000, 0.3391, 0.0000), Nd at (0.0000, 0.5000, 0.5000), Sc at (0.0000, 0.1676, 0.5000), Te at (0.2308, 0.0000, 0.7505) and Te at (0.2398, 0.1765, 0.2504).

The total magnetization comes out at 0.0 Bohr magnetons per cell. The total energy comes out at -4.7101 eV/atom.

No. 7
A plane-wave DFT calculation with PBE was carried out for an optimized crystal structure of LiNdSc2Te4.

It has space group P2/m (No. 10), with a = 7.3838 Å, b = 4.2422 Å, c = 7.4806 Å, α = 90.00°, β = 108.89° and γ = 90.00°. The asymmetric unit holds Li at (0.0000, 0.0000, 0.0000), Nd at (0.5000, 0.5000, 0.0000), Sc at (0.0000, 0.5000, 0.5000), Sc at (0.5000, 0.0000, 0.5000), Te at (0.2332, 0.0000, 0.7331) and Te at (0.2451, 0.5000, 0.2620).

The total magnetization comes out at 0.0 Bohr magnetons per cell. The total energy comes out at -5.2140 eV/atom.

No. 8
A plane-wave DFT calculation with PBE was carried out for an optimized crystal structure of LiNd3Sc3Te8.

It has space group R-3m (No. 166, hexagonal axes), with a = 8.5903 Å, b = 8.5903 Å, c = 21.2545 Å, α = 90.00°, β = 90.00° and γ = 120.00°. The asymmetric unit holds Li at (0.0000, 0.0000, 0.0000), Nd at (0.0000, 0.5000, 0.5000), Sc at (0.0000, 0.5000, 0.0000), Te at (0.0000, 0.0000, 0.2582) and Te at (0.0106, 0.5053, 0.2557).

The total magnetization comes out at 0.0 Bohr magnetons per cell. The total energy comes out at -5.2891 eV/atom.

No. 9
A plane-wave DFT calculation with PBE was carried out for an optimized crystal structure of Li2NdScTe4.

It has space group P2/m (No. 10), with a = 7.4568 Å, b = 4.3170 Å, c = 7.4892 Å, α = 90.00°, β = 109.45° and γ = 90.00°. The asymmetric unit holds Li at (0.0000, 0.0000, 0.0000), Li at (0.0000, 0.5000, 0.5000), Nd at (0.5000, 0.0000, 0.5000), Sc at (0.5000, 0.5000, 0.0000), Te at (0.2420, 0.5000, 0.2302) and Te at (0.2521, 0.0000, 0.7673).

The total magnetization comes out at 0.0 Bohr magnetons per cell. The total energy comes out at -4.6569 eV/atom.

No. 10
A plane-wave DFT calculation with PBE was carried out for an optimized crystal structure of LiNdScTe3.

It has space group P2_1/m (No. 11), with a = 8.6359 Å, b = 4.2315 Å, c = 9.4831 Å, α = 90.00°, β = 104.59° and γ = 90.00°. The asymmetric unit holds Li at (0.0879, 0.2500, 0.0897), Nd at (0.1945, 0.2500, 0.7405), Sc at (0.3310, 0.7500, 0.3402), Te at (0.0984, 0.2500, 0.3775), Te at (0.2454, 0.7500, 0.0103) and Te at (0.4366, 0.7500, 0.6632).

The total magnetization comes out at 0.0 Bohr magnetons per cell. The total energy comes out at -4.9563 eV/atom.